# 1
VASP calculation (PBE) on a geometry-optimized SrMnFe2 structure.

**Calculated total energy**: -6.005 eV/atom
**Calculated density**: 6.03 Mg/m³

a b c (Å): 5.2186 5.2186 2.8442
angles (deg): 87.02 87.02 114.79
Closest atoms and distances in Å follow each position.
Atoms (fractional coordinates):
Mn 0.5000 0.0000 0.5000  2 Sr 2.81, 2 Mn 2.84, 8 Fe 2.91-3.04
Sr 0.0000 0.5000 0.5000  2 Mn 2.81, 2 Sr 2.84, 8 Fe 2.91-3.04
Fe 0.0000 0.0000 0.0000  4 Fe 2.81-2.84, 4 Mn 2.91-3.04, 4 Sr 2.91-3.04
Fe 0.5000 0.5000 0.0000  4 Fe 2.81-2.84, 4 Sr 2.91-3.04, 4 Mn 2.91-3.04

---

# 2
VASP calculation (PBE) on a geometry-optimized PaTlRhS4 structure.

**Formation energy from raw total energies**: -0.855 eV per atom
**Calculated density**: 6.75 Mg/m³

a b c (Å): 6.7342 5.7099 9.0131
angles (deg): 90.00 108.90 90.00
Closest atoms and distances in Å follow each position.
Atoms (fractional coordinates):
S 0.9588 0.4873 0.2992  1 Rh 2.28
S 0.0412 0.9873 0.7008  1 Rh 2.28
S 0.4507 0.7500 0.1743  1 Rh 2.33
S 0.5493 0.2500 0.8257  1 Rh 2.33
S 0.0412 0.5127 0.7008  1 Rh 2.28
S 0.5702 0.2500 0.4182  1 Rh 2.31
S 0.9588 0.0127 0.2992  1 Rh 2.28
S 0.4298 0.7500 0.5818  1 Rh 2.31
Tl 0.2766 0.2500 0.0506  6 S 3.15-3.39
Tl 0.7234 0.7500 0.9494  6 S 3.15-3.39
Pa 0.7398 0.7500 0.4523  6 S 2.63-2.83
Pa 0.2602 0.2500 0.5477  6 S 2.63-2.83
Rh 0.2217 0.7500 0.3210  4 S 2.28-2.33
Rh 0.7783 0.2500 0.6790  4 S 2.28-2.33